Entry 1:
Below is a relaxed MgIn2Rh crystal, with properties calculated at the GGA-PBE level.

Summary:
For the density, the calculation gives 6.135 g/cm3. The formation energy is -0.0382 eV per atom. As for the symmetry: I-42d.

Cell: 6.5877 6.5877 6.5877 Å, 99.38 99.38 132.39°
Last column: nearest neighbours and their distance in Å.
Atoms (fractional coordinates):
Mg1 0.0000 0.0000 0.0000  2 Rh 2.66
Mg2 0.7500 0.2500 0.5000  2 Rh 2.66
In1 0.2106 0.6250 0.0856  2 Rh 2.64
In2 0.3750 0.4606 0.5856  2 Rh 2.64
In3 0.5394 0.1250 0.9144  2 Rh 2.64
In4 0.8750 0.7894 0.4144  2 Rh 2.64
Rh1 0.2500 0.7500 0.5000  4 In 2.64, 2 Mg 2.66
Rh2 0.5000 0.5000 0.0000  4 In 2.64, 2 Mg 2.66

***

Entry 2:
Below is a relaxed Cr2NiPt crystal, with properties calculated at the GGA-PBE level.

Summary:
For the density, the calculation gives 11.701 g/cm3. The formation energy is 0.0162 eV per atom. As for the symmetry: C2/m.

Cell: 4.5342 4.5342 4.3726 Å, 100.74 100.74 35.16°
Last column: nearest neighbours and their distance in Å.
Atoms (fractional coordinates):
Cr1 0.2472 0.2472 0.2016  2 Cr 2.24
Cr2 0.7528 0.7528 0.7984  2 Cr 2.24
Ni1 0.5000 0.5000 0.0000  6 Cr 2.51-2.55, 4 Pt 2.58, 2 Ni 2.74
Pt1 0.0000 0.0000 0.5000  4 Ni 2.58, 6 Cr 2.69-2.71, 2 Pt 2.74

***

Entry 3:
Below is a relaxed P5Rh crystal, with properties calculated at the GGA-PBE level.

Summary:
For the density, the calculation gives 3.845 g/cm3. The formation energy is 0.0634 eV per atom. As for the distance to the lowest polymorph of the same formula: 0 meV/atom. As for the symmetry: Cm.

Cell: 6.0325 6.0325 7.3466 Å, 124.69 124.69 31.07°
Last column: nearest neighbours and their distance in Å.
Atoms (fractional coordinates):
P1 0.0000 0.0000 0.0000  2 P 2.21, 1 Rh 2.41
P2 0.2238 0.2238 0.6424  3 P 2.21-2.35
P3 0.3565 0.3565 0.4949  2 Rh 2.32, 1 P 2.35
P4 0.5680 0.5680 0.4452  2 P 2.21
P5 0.6517 0.6517 0.0731  2 P 2.21
Rh1 0.0308 0.0308 0.7036  4 P 2.32-2.53

***

- What is the formula in the third record?
  P5Rh